The following is a PBE-GGA calculation of a relaxed structure of MgSbIr2, from Alexandria via LeMat-Bulk.

Summary:
VASP energy ... -22.558 eV per cell
Formation energy (no corrections) ... 220 meV per atom

Cell: 2.9388 2.9388 9.0594 Å, 90.00 90.00 117.47°
Closest atoms and distances in Å follow each position.
Fractional coordinates of all 4 atoms:
Ir 0.0000 0.0000 0.0103  2 Mg 2.65, 2 Sb 2.81, 4 Ir 2.94
Ir 0.0000 0.0000 0.4897  2 Mg 2.65, 2 Sb 2.81, 4 Ir 2.94
Sb 0.5000 0.5000 0.7500  4 Ir 2.81, 6 Sb 2.94-3.05
Mg 0.5000 0.5000 0.2500  4 Ir 2.65, 4 Mg 2.94


The following is a PBE-GGA calculation of a relaxed structure of CoAg2Bi, from Alexandria via LeMat-Bulk.

Summary:
VASP energy ... -29.561 eV per cell
Formation energy from the elements ... 11.0 kcal/mol of atoms

Cell: 3.9111 3.9111 10.7314 Å, 79.50 79.50 90.00°
Closest atoms and distances in Å follow each position.
Fractional coordinates of all 8 atoms:
Ag 0.3750 0.3855 0.7500  4 Ag 2.71-2.82, 2 Co 2.92, 2 Bi 2.95
Ag 0.1355 0.6250 0.2500  4 Ag 2.71-2.82, 2 Co 2.92, 2 Bi 2.95
Ag 0.6145 0.1250 0.2500  4 Ag 2.71-2.82, 2 Co 2.92, 2 Bi 2.95
Ag 0.8750 0.8645 0.7500  4 Ag 2.71-2.82, 2 Co 2.92, 2 Bi 2.95
Bi 0.7500 0.2500 0.5000  4 Co 2.77, 4 Ag 2.95
Bi 0.0000 0.0000 0.0000  4 Co 2.77, 4 Ag 2.95
Co 0.5000 0.5000 0.0000  4 Bi 2.77, 4 Ag 2.92
Co 0.2500 0.7500 0.5000  4 Bi 2.77, 4 Ag 2.92


The following is a PBE-GGA calculation of a relaxed structure of CeGe2W, from Alexandria via LeMat-Bulk.

Summary:
VASP energy ... -28.465 eV per cell
Formation energy from the elements ... -2.0 kcal/mol of atoms

Cell: 4.7202 4.7202 4.7184 Å, 59.99 59.99 60.00°
Closest atoms and distances in Å follow each position.
Fractional coordinates of all 4 atoms:
W 0.0000 0.0000 0.0000  8 Ge 2.89
Ce 0.5000 0.5000 0.5000  8 Ge 2.89
Ge 0.2499 0.2499 0.2503  4 W 2.89, 4 Ce 2.89
Ge 0.7501 0.7501 0.7497  4 W 2.89, 4 Ce 2.89


The following is a PBE-GGA calculation of a relaxed structure of ZnOsSe2, from Alexandria via LeMat-Bulk.

Summary:
VASP energy ... -16.840 eV per cell
Formation energy (no corrections) ... 658 meV per atom

Cell: 6.0976 6.0976 2.6525 Å, 68.30 68.30 109.94°
Closest atoms and distances in Å follow each position.
Fractional coordinates of all 4 atoms:
Zn 0.5000 0.0000 0.5000  2 Zn 2.65, 2 Os 2.71, 4 Se 2.84
Se 0.5000 0.5000 0.0000  4 Se 2.65-2.71, 2 Zn 2.84, 2 Os 2.84
Se 0.0000 0.0000 0.0000  4 Se 2.65-2.71, 2 Os 2.84, 2 Zn 2.84
Os 0.0000 0.5000 0.5000  2 Os 2.65, 2 Zn 2.71, 4 Se 2.84


The following is a PBE-GGA calculation of a relaxed structure of NaEr2Pb5, from Alexandria via LeMat-Bulk.

Summary:
VASP energy ... -30.990 eV per cell
Formation energy from the elements ... -5.8 kcal/mol of atoms

Cell: 6.6838 6.6837 6.6836 Å, 107.22 107.22 114.07°
Closest atoms and distances in Å follow each position.
Fractional coordinates of all 8 atoms:
Er 0.2779 0.7780 0.5001  8 Pb 3.34, 2 Er 3.64
Er 0.7778 0.2779 0.4999  8 Pb 3.34, 2 Er 3.64
Pb 0.2780 0.7774 0.0000  2 Na 3.34, 4 Pb 3.34-3.64, 4 Er 3.34
Pb 0.2776 0.2773 0.0000  8 Pb 3.34, 2 Na 3.63-3.64
Pb 0.7775 0.7777 0.4996  2 Na 3.34, 4 Er 3.34, 4 Pb 3.34-3.64
Pb 0.7778 0.2780 0.0000  2 Na 3.34, 4 Er 3.34, 4 Pb 3.34-3.64
Pb 0.2779 0.2781 0.5004  2 Na 3.34, 4 Er 3.34, 4 Pb 3.34-3.64
Na 0.7786 0.7784 0.0000  10 Pb 3.34-3.64


The following is a PBE-GGA calculation of a relaxed structure of CaIrBr, from Alexandria via LeMat-Bulk.

Summary:
VASP energy ... -29.983 eV per cell
Formation energy (no corrections) ... -819 meV per atom
Offset from the most stable computed form ... 253 meV per atom

Cell: 4.2294 9.5256 4.1610 Å, 89.97 90.02 102.78°
Closest atoms and distances in Å follow each position.
Fractional coordinates of all 6 atoms:
Br 0.5099 0.1818 0.2863  1 Ir 2.61
Br 0.1689 0.4963 0.7868  1 Ir 2.61
Ca 0.7535 0.6660 0.1739  6 Ir 3.07-3.13, 2 Br 3.09
Ca 0.9258 0.0120 0.6735  6 Ir 3.07-3.13, 2 Br 3.09
Ir 0.3728 0.9058 0.1730  2 Ir 2.42, 1 Br 2.61
Ir 0.3064 0.7723 0.6732  2 Ir 2.42, 1 Br 2.61


- Which value of VASP energy does entry 2 give?
  -29.561 eV per cell


- What is the VASP energy in the first record?
  -22.558 eV per cell


- VASP energy of number 2 (CoAg2Bi)?
  -29.561 eV per cell